[1]
Here is a relaxed structure of Sm2Br2NCl from the Open Quantum Materials Database. Energies are from GGA-PBE.

CIF file:
```
data_Sm2Br2NCl
_cell_length_a 8.700
_cell_length_b 8.700
_cell_length_c 11.032
_cell_angle_alpha 119.47
_cell_angle_beta 119.47
_cell_angle_gamma 26.46
_symmetry_space_group_name_H-M 'P 1'
_symmetry_Int_Tables_number 1
loop_
_symmetry_equiv_pos_as_xyz
'x,y,z'
loop_
_atom_site_label
_atom_site_type_symbol
_atom_site_fract_x
_atom_site_fract_y
_atom_site_fract_z
Sm1 Sm 0.084 0.084 0.455
Sm2 Sm 0.365 0.365 0.212
Sm3 Sm 0.635 0.635 0.788
Sm4 Sm 0.916 0.916 0.545
Br1 Br 0.163 0.163 0.020
Br2 Br 0.450 0.450 0.763
Br3 Br 0.550 0.550 0.237
Br4 Br 0.837 0.837 0.980
N1 N 0.073 0.073 0.655
N2 N 0.927 0.927 0.345
Cl1 Cl 0.287 0.287 0.391
Cl2 Cl 0.713 0.713 0.609
```

Calculated values
SG ... C2/m (12)
Energy relative to the lowest polymorph listed for this composition ... 0 meV per atom

---

[2]
Here is a relaxed structure of AlFeCoSe4 from the Open Quantum Materials Database. Energies are from GGA-PBE.

CIF file:
```
data_AlFeCoSe4
_cell_length_a 7.304
_cell_length_b 7.304
_cell_length_c 10.244
_cell_angle_alpha 90.00
_cell_angle_beta 90.00
_cell_angle_gamma 90.00
_symmetry_space_group_name_H-M 'P 1'
_symmetry_Int_Tables_number 1
loop_
_symmetry_equiv_pos_as_xyz
'x,y,z'
loop_
_atom_site_label
_atom_site_type_symbol
_atom_site_fract_x
_atom_site_fract_y
_atom_site_fract_z
Al1 Al 0.000 0.254 0.000
Al2 Al 0.000 0.746 0.500
Al3 Al 0.254 0.000 0.750
Al4 Al 0.746 0.000 0.250
Fe1 Fe 0.254 0.254 0.375
Fe2 Fe 0.254 0.746 0.125
Fe3 Fe 0.746 0.254 0.625
Fe4 Fe 0.746 0.746 0.875
Co1 Co 0.255 0.500 0.750
Co2 Co 0.500 0.255 0.000
Co3 Co 0.500 0.745 0.500
Co4 Co 0.745 0.500 0.250
Se1 Se 0.023 0.262 0.751
Se2 Se 0.023 0.738 0.749
Se3 Se 0.262 0.023 0.999
Se4 Se 0.262 0.977 0.501
Se5 Se 0.263 0.483 0.985
Se6 Se 0.263 0.517 0.515
Se7 Se 0.483 0.263 0.765
Se8 Se 0.483 0.737 0.735
Se9 Se 0.517 0.263 0.235
Se10 Se 0.517 0.737 0.265
Se11 Se 0.737 0.483 0.015
Se12 Se 0.737 0.517 0.485
Se13 Se 0.738 0.023 0.001
Se14 Se 0.738 0.977 0.499
Se15 Se 0.977 0.262 0.249
Se16 Se 0.977 0.738 0.251
```

Calculated values
SG ... P4_122 (91)
Energy relative to the lowest polymorph listed for this composition ... 0 meV per atom

---

[3]
Here is a relaxed structure of SrPrTe2AuS from the Open Quantum Materials Database. Energies are from GGA-PBE.

CIF file:
```
data_SrPrTe2AuS
_cell_length_a 7.656
_cell_length_b 7.656
_cell_length_c 10.856
_cell_angle_alpha 90.00
_cell_angle_beta 90.00
_cell_angle_gamma 146.82
_symmetry_space_group_name_H-M 'P 1'
_symmetry_Int_Tables_number 1
loop_
_symmetry_equiv_pos_as_xyz
'x,y,z'
loop_
_atom_site_label
_atom_site_type_symbol
_atom_site_fract_x
_atom_site_fract_y
_atom_site_fract_z
Sr1 Sr 0.224 0.776 0.750
Sr2 Sr 0.776 0.224 0.250
Pr1 Pr 0.500 0.500 0.000
Pr2 Pr 0.500 0.500 0.500
Te1 Te 0.153 0.847 0.064
Te2 Te 0.153 0.847 0.436
Te3 Te 0.847 0.153 0.564
Te4 Te 0.847 0.153 0.936
Au1 Au 0.022 0.978 0.250
Au2 Au 0.978 0.022 0.750
S1 S 0.422 0.578 0.250
S2 S 0.578 0.422 0.750
```

Calculated values
SG ... Cmcm (63)
Calculated total energy ... -55.99 eV for the cell shown

---

[4]
Here is a relaxed structure of Li4InCu2Sn from the Open Quantum Materials Database. Energies are from GGA-PBE.

CIF file:
```
data_Li4InCu2Sn
_cell_length_a 4.434
_cell_length_b 4.434
_cell_length_c 6.259
_cell_angle_alpha 90.00
_cell_angle_beta 90.00
_cell_angle_gamma 90.00
_symmetry_space_group_name_H-M 'P 1'
_symmetry_Int_Tables_number 1
loop_
_symmetry_equiv_pos_as_xyz
'x,y,z'
loop_
_atom_site_label
_atom_site_type_symbol
_atom_site_fract_x
_atom_site_fract_y
_atom_site_fract_z
Li1 Li 0.000 0.000 0.000
Li2 Li 0.000 0.500 0.750
Li3 Li 0.500 0.000 0.250
Li4 Li 0.500 0.500 0.500
In1 In 0.000 0.000 0.500
Cu1 Cu 0.000 0.500 0.248
Cu2 Cu 0.500 0.000 0.752
Sn1 Sn 0.500 0.500 0.000
```

Calculated values
SG ... P-4m2 (115)
Calculated total energy ... -23.99 eV for the cell shown

---

[5]
Here is a relaxed structure of SrIrNO2 from the Open Quantum Materials Database. Energies are from GGA-PBE.

CIF file:
```
data_SrIrNO2
_cell_length_a 5.527
_cell_length_b 5.527
_cell_length_c 5.675
_cell_angle_alpha 120.31
_cell_angle_beta 120.31
_cell_angle_gamma 62.61
_symmetry_space_group_name_H-M 'P 1'
_symmetry_Int_Tables_number 1
loop_
_symmetry_equiv_pos_as_xyz
'x,y,z'
loop_
_atom_site_label
_atom_site_type_symbol
_atom_site_fract_x
_atom_site_fract_y
_atom_site_fract_z
Sr1 Sr 0.250 0.750 0.750
Sr2 Sr 0.750 0.250 0.250
Ir1 Ir 0.000 0.500 0.000
Ir2 Ir 0.500 0.000 0.500
N1 N 0.246 0.754 0.250
N2 N 0.754 0.246 0.750
O1 O 0.194 0.312 0.314
O2 O 0.312 0.194 0.814
O3 O 0.688 0.806 0.186
O4 O 0.806 0.688 0.686
```

Calculated values
SG ... C2/c (15)
Calculated total energy ... -68.10 eV for the cell shown

---

[6]
Here is a relaxed structure of PrCuAsP from the Open Quantum Materials Database. Energies are from GGA-PBE.

CIF file:
```
data_PrCuAsP
_cell_length_a 3.910
_cell_length_b 3.910
_cell_length_c 10.207
_cell_angle_alpha 90.00
_cell_angle_beta 90.00
_cell_angle_gamma 90.00
_symmetry_space_group_name_H-M 'P 1'
_symmetry_Int_Tables_number 1
loop_
_symmetry_equiv_pos_as_xyz
'x,y,z'
loop_
_atom_site_label
_atom_site_type_symbol
_atom_site_fract_x
_atom_site_fract_y
_atom_site_fract_z
Pr1 Pr 0.250 0.250 0.228
Pr2 Pr 0.750 0.750 0.772
Cu1 Cu 0.250 0.750 0.500
Cu2 Cu 0.750 0.250 0.500
As1 As 0.250 0.250 0.651
As2 As 0.750 0.750 0.349
P1 P 0.250 0.750 0.000
P2 P 0.750 0.250 0.000
```

Calculated values
SG ... P4/nmm (129)
Energy relative to the lowest polymorph listed for this composition ... 111 meV per atom

---

[7]
Here is a relaxed structure of Tb2NdCu4Sn4 from the Open Quantum Materials Database. Energies are from GGA-PBE.

CIF file:
```
data_Tb2NdCu4Sn4
_cell_length_a 8.499
_cell_length_b 8.499
_cell_length_c 8.499
_cell_angle_alpha 149.39
_cell_angle_beta 131.15
_cell_angle_gamma 58.76
_symmetry_space_group_name_H-M 'P 1'
_symmetry_Int_Tables_number 1
loop_
_symmetry_equiv_pos_as_xyz
'x,y,z'
loop_
_atom_site_label
_atom_site_type_symbol
_atom_site_fract_x
_atom_site_fract_y
_atom_site_fract_z
Tb1 Tb 0.132 0.132 0.000
Tb2 Tb 0.868 0.868 0.000
Nd1 Nd 0.500 0.000 0.500
Cu1 Cu 0.143 0.330 0.813
Cu2 Cu 0.483 0.670 0.813
Cu3 Cu 0.517 0.330 0.187
Cu4 Cu 0.857 0.670 0.187
Sn1 Sn 0.199 0.500 0.699
Sn2 Sn 0.282 0.782 0.500
Sn3 Sn 0.718 0.218 0.500
Sn4 Sn 0.801 0.500 0.301
```

Calculated values
SG ... Immm (71)
Calculated total energy ... -50.65 eV for the cell shown

---

[8]
Here is a relaxed structure of Hf2Zr4Sn3C3 from the Open Quantum Materials Database. Energies are from GGA-PBE.

CIF file:
```
data_Hf2Zr4Sn3C3
_cell_length_a 5.833
_cell_length_b 5.833
_cell_length_c 15.034
_cell_angle_alpha 101.19
_cell_angle_beta 101.19
_cell_angle_gamma 60.00
_symmetry_space_group_name_H-M 'P 1'
_symmetry_Int_Tables_number 1
loop_
_symmetry_equiv_pos_as_xyz
'x,y,z'
loop_
_atom_site_label
_atom_site_type_symbol
_atom_site_fract_x
_atom_site_fract_y
_atom_site_fract_z
Hf1 Hf 0.028 0.860 0.583
Hf2 Hf 0.140 0.972 0.917
Hf3 Hf 0.860 0.028 0.083
Hf4 Hf 0.972 0.140 0.417
Zr1 Zr 0.195 0.363 0.086
Zr2 Zr 0.306 0.470 0.414
Zr3 Zr 0.363 0.195 0.586
Zr4 Zr 0.470 0.306 0.914
Zr5 Zr 0.530 0.694 0.086
Zr6 Zr 0.637 0.805 0.414
Zr7 Zr 0.694 0.530 0.586
Zr8 Zr 0.805 0.637 0.914
Sn1 Sn 0.083 0.243 0.750
Sn2 Sn 0.243 0.083 0.250
Sn3 Sn 0.410 0.590 0.750
Sn4 Sn 0.590 0.410 0.250
Sn5 Sn 0.757 0.917 0.750
Sn6 Sn 0.917 0.757 0.250
C1 C 0.000 0.500 0.500
C2 C 0.164 0.672 0.000
C3 C 0.328 0.836 0.500
C4 C 0.500 0.000 0.000
C5 C 0.672 0.164 0.500
C6 C 0.836 0.328 0.000
```

Calculated values
SG ... C2/c (15)
Calculated total energy ... -206.30 eV for the cell shown

---

[9]
Here is a relaxed structure of LuBeOs2 from the Open Quantum Materials Database. Energies are from GGA-PBE.

CIF file:
```
data_LuBeOs2
_cell_length_a 4.431
_cell_length_b 4.431
_cell_length_c 4.431
_cell_angle_alpha 60.00
_cell_angle_beta 60.00
_cell_angle_gamma 60.00
_symmetry_space_group_name_H-M 'P 1'
_symmetry_Int_Tables_number 1
loop_
_symmetry_equiv_pos_as_xyz
'x,y,z'
loop_
_atom_site_label
_atom_site_type_symbol
_atom_site_fract_x
_atom_site_fract_y
_atom_site_fract_z
Lu1 Lu 0.000 0.000 0.000
Be1 Be 0.750 0.750 0.750
Os1 Os 0.250 0.250 0.250
Os2 Os 0.500 0.500 0.500
```

Calculated values
SG ... F-43m (216)
Calculated total energy ... -29.79 eV for the cell shown

---

[10]
Here is a relaxed structure of LuAlW from the Open Quantum Materials Database. Energies are from GGA-PBE.

CIF file:
```
data_LuAlW
_cell_length_a 4.693
_cell_length_b 4.693
_cell_length_c 4.693
_cell_angle_alpha 60.00
_cell_angle_beta 60.00
_cell_angle_gamma 60.00
_symmetry_space_group_name_H-M 'P 1'
_symmetry_Int_Tables_number 1
loop_
_symmetry_equiv_pos_as_xyz
'x,y,z'
loop_
_atom_site_label
_atom_site_type_symbol
_atom_site_fract_x
_atom_site_fract_y
_atom_site_fract_z
Lu1 Lu 0.000 0.000 0.000
Al1 Al 0.750 0.750 0.750
W1 W 0.250 0.250 0.250
```

Calculated values
SG ... F-43m (216)
Energy relative to the lowest polymorph listed for this composition ... 549 meV per atom

---

Repeat the second record exactly.
Here is a relaxed structure of AlFeCoSe4 from the Open Quantum Materials Database. Energies are from GGA-PBE.

CIF file:
```
data_AlFeCoSe4
_cell_length_a 7.304
_cell_length_b 7.304
_cell_length_c 10.244
_cell_angle_alpha 90.00
_cell_angle_beta 90.00
_cell_angle_gamma 90.00
_symmetry_space_group_name_H-M 'P 1'
_symmetry_Int_Tables_number 1
loop_
_symmetry_equiv_pos_as_xyz
'x,y,z'
loop_
_atom_site_label
_atom_site_type_symbol
_atom_site_fract_x
_atom_site_fract_y
_atom_site_fract_z
Al1 Al 0.000 0.254 0.000
Al2 Al 0.000 0.746 0.500
Al3 Al 0.254 0.000 0.750
Al4 Al 0.746 0.000 0.250
Fe1 Fe 0.254 0.254 0.375
Fe2 Fe 0.254 0.746 0.125
Fe3 Fe 0.746 0.254 0.625
Fe4 Fe 0.746 0.746 0.875
Co1 Co 0.255 0.500 0.750
Co2 Co 0.500 0.255 0.000
Co3 Co 0.500 0.745 0.500
Co4 Co 0.745 0.500 0.250
Se1 Se 0.023 0.262 0.751
Se2 Se 0.023 0.738 0.749
Se3 Se 0.262 0.023 0.999
Se4 Se 0.262 0.977 0.501
Se5 Se 0.263 0.483 0.985
Se6 Se 0.263 0.517 0.515
Se7 Se 0.483 0.263 0.765
Se8 Se 0.483 0.737 0.735
Se9 Se 0.517 0.263 0.235
Se10 Se 0.517 0.737 0.265
Se11 Se 0.737 0.483 0.015
Se12 Se 0.737 0.517 0.485
Se13 Se 0.738 0.023 0.001
Se14 Se 0.738 0.977 0.499
Se15 Se 0.977 0.262 0.249
Se16 Se 0.977 0.738 0.251
```

Calculated values
SG ... P4_122 (91)
Energy relative to the lowest polymorph listed for this composition ... 0 meV per atom